Record 1
Compound: CrOsBr
Source: Alexandria via LeMat-Bulk
Functional: GGA-PBE
Structure: optimized geometry

Lattice parameters (Å, degrees): 4.1905 4.1905 2.9415 90.00 90.00 120.00
Last column: nearest neighbours and their distance in Å.
Positions (direct):
Cr1 0.0000 0.0000 0.0000  3 Br 2.47
Os1 0.3333 0.6667 0.5017  3 Br 2.60, 6 Cr 2.83
Br1 0.6667 0.3333 0.8252  3 Cr 2.47, 3 Os 2.60


Record 2
Compound: CrOsBr2
Source: Alexandria via LeMat-Bulk
Functional: GGA-PBE
Structure: optimized geometry

Lattice parameters (Å, degrees): 4.7709 4.7709 4.7709 60.00 60.00 60.00
Last column: nearest neighbours and their distance in Å.
Positions (direct):
Cr1 0.0000 0.0000 0.0000  4 Os 2.92, 4 Br 2.92
Os1 0.7500 0.7500 0.7500  4 Cr 2.92, 4 Br 2.92
Br1 0.2500 0.2500 0.2500  4 Cr 2.92, 4 Br 2.92
Br2 0.5000 0.5000 0.5000  4 Br 2.92, 4 Os 2.92


Number 1: excess energy over the best structure of this formula in the dataset 465 meV/atom, energy -19.2 eV per cell, uncorrected formation energy 3.4 eV per formula unit. Number 2: excess energy over the best structure of this formula in the dataset 1104 meV/atom, energy -18.9 eV per cell, uncorrected formation energy 5.3 eV per formula unit.